Entry from Alexandria: an optimized crystal structure of Tm2PuNi9 (PBE).

Cell lengths 4.9483, 4.9483, 24.1545 Å; angles 90.00, 90.00, 120.00 degrees
Space group R-3m (No. 166, hexagonal axes)
Asymmetric unit:
1 Tm 0.0000 0.0000 0.1392 x6
2 Pu 0.0000 0.0000 0.0000 x3
3 Ni 0.0000 0.0000 0.3331 x6
4 Ni 0.0000 0.0000 0.5000 x3
5 Ni 0.0016 0.5008 0.9170 x18

- spin magnetization (Bohr magnetons per cell) = 10.5
- calculated formation energy (eV/atom) = -0.3683
- total energy (eV per atom) = -6.644